VASP calculation (PBE) on a relaxed structure of Ca3MgP.

The structure in POSCAR format:
```
Ca3MgP
1.0
0.000 7.266 7.266
7.266 0.000 7.266
7.266 7.266 0.000
Ca Mg P
12 4 4
Direct
0.084 0.084 0.666 Ca
0.084 0.666 0.084 Ca
0.084 0.666 0.666 Ca
0.334 0.334 0.916 Ca
0.334 0.916 0.334 Ca
0.334 0.916 0.916 Ca
0.666 0.084 0.084 Ca
0.666 0.084 0.666 Ca
0.666 0.666 0.084 Ca
0.916 0.334 0.334 Ca
0.916 0.334 0.916 Ca
0.916 0.916 0.334 Ca
0.000 0.500 0.500 Mg
0.500 0.000 0.500 Mg
0.500 0.500 0.000 Mg
0.500 0.500 0.500 Mg
0.000 0.000 0.000 P
0.000 0.000 0.500 P
0.000 0.500 0.000 P
0.500 0.000 0.000 P
```

Magnetic moment, μB per formula unit: 0.00
Energy, eV per atom: -2.93
E_form, eV per atom: -0.323
Excess energy over the best structure of this formula in the dataset, meV per atom: 243
Space group: Fd-3m